No. 1
DFT (PBE) results for HfGe2Bi2 after structural relaxation.

```
HfGe2Bi2
1.0
-1.8499 1.8499 9.2952
1.8499 -1.8499 9.2952
1.8499 1.8499 -9.2952
Hf Ge Bi
1 2 2
direct
0.0000 0.0000 0.0000
0.2500 0.7500 0.5000
0.7500 0.2500 0.5000
0.4041 0.4041 0.0000
0.5959 0.5959 0.0000
```

Values from the calculation:
Symmetry = I4/mmm (139)
M_tot = 0.000 μB per formula unit

---

No. 2
DFT (PBE) results for HfGe3Bi after structural relaxation.

```
HfGe3Bi
1.0
5.2840 0.0000 0.0000
0.0000 5.2840 0.0000
0.0000 0.0000 5.2840
Hf Ge Bi
1 3 1
direct
0.0000 0.0000 0.0000
0.0000 0.5000 0.5000
0.5000 0.0000 0.5000
0.5000 0.5000 0.0000
0.5000 0.5000 0.5000
```

Values from the calculation:
Symmetry = Pm-3m (221)
M_tot = 0.000 μB per formula unit

---

No. 3
DFT (PBE) results for Hf2GeBi2 after structural relaxation.

```
Hf2GeBi2
1.0
7.4916 0.0000 0.0000
0.0000 7.4916 0.0000
0.0000 0.0000 4.3105
Hf Ge Bi
4 2 4
direct
0.1511 0.3489 0.0000
0.3489 0.8489 0.0000
0.6511 0.1511 0.0000
0.8489 0.6511 0.0000
0.0000 0.0000 0.0000
0.5000 0.5000 0.0000
0.1561 0.6561 0.5000
0.3439 0.1561 0.5000
0.6561 0.8439 0.5000
0.8439 0.3439 0.5000
```

Values from the calculation:
Symmetry = P4/mbm (127)
M_tot = 0.000 μB per formula unit

---

No. 4
DFT (PBE) results for HfIn2GeBi after structural relaxation.

```
HfIn2GeBi
1.0
5.1531 0.0000 0.0000
0.0000 5.1531 0.0000
0.0000 0.0000 5.5897
Hf In Ge Bi
1 2 1 1
direct
0.0000 0.0000 0.0000
0.0000 0.5000 0.5000
0.5000 0.0000 0.5000
0.5000 0.5000 0.5000
0.5000 0.5000 0.0000
```

Values from the calculation:
Symmetry = P4/mmm (123)
M_tot = 0.000 μB per formula unit

---

no.,formation energy (meV per atom)
1,205
2,1402
3,-84
4,794